Compound: PmNd2Bi
Source: Alexandria via LeMat-Bulk
Functional: PBE
Structure: optimized geometry

abc: 4.1666 4.1666 10.0736
angles: 78.06 78.06 60.00
Element x y z (fractional)
Pm 0.5000 0.5000 0.4999
Bi 0.6666 0.6666 0.0002
Nd 0.0704 0.0704 0.7887
Nd 0.2629 0.2629 0.2113

Output
Density of states at the Fermi level   5.17 states/eV/cell
Calculated formation energy   -0.22 eV per atom
Distance to the lowest polymorph of the same formula   5.26 kcal/mol of atoms
Theoretical density   7.25 g cm⁻³
Final energy   -4.76 eV per atom

Compound: PmNd3Bi4
Source: Alexandria via LeMat-Bulk
Functional: PBE
Structure: optimized geometry

abc: 6.5040 6.5040 6.5040
angles: 90.00 90.00 90.00
Element x y z (fractional)
Bi 0.5000 0.0000 0.0000
Nd 0.0000 0.5000 0.5000
Bi 0.0000 0.5000 0.0000
Bi 0.0000 0.0000 0.5000
Bi 0.5000 0.5000 0.5000
Nd 0.5000 0.0000 0.5000
Nd 0.5000 0.5000 0.0000
Pm 0.0000 0.0000 0.0000

Output
Density of states at the Fermi level   0.45 states/eV/cell
Calculated formation energy   -0.95 eV per atom
Distance to the lowest polymorph of the same formula   0.00 kcal/mol of atoms
Theoretical density   8.53 g cm⁻³
Final energy   -5.28 eV per atom

Compound: Pm2NdBi3
Source: Alexandria via LeMat-Bulk
Functional: PBE
Structure: optimized geometry

abc: 4.5913 6.4839 7.9481
angles: 114.07 106.79 90.00
Element x y z (fractional)
Bi 0.8323 0.3323 0.1647
Pm 0.8336 0.8336 0.1671
Pm 0.1664 0.1664 0.8329
Bi 0.1677 0.6677 0.8353
Nd 0.5000 0.5000 0.5000
Bi 0.5000 0.0000 0.5000

Output
Density of states at the Fermi level   1.27 states/eV/cell
Calculated formation energy   -0.94 eV per atom
Theoretical density   8.60 g cm⁻³
Final energy   -5.26 eV per atom

Compound: Pm3Nd2Bi2
Source: Alexandria via LeMat-Bulk
Functional: PBE
Structure: optimized geometry

abc: 4.4249 6.6426 8.9300
angles: 106.98 90.00 109.46
Element x y z (fractional)
Bi 0.1733 0.3467 0.1957
Nd 0.8697 0.7393 0.2124
Pm 0.6266 0.2532 0.4492
Pm 0.5000 0.0000 0.0000
Bi 0.8267 0.6533 0.8043
Nd 0.1303 0.2607 0.7876
Pm 0.3734 0.7468 0.5508

Output
Density of states at the Fermi level   9.25 states/eV/cell
Calculated formation energy   -0.49 eV per atom
Theoretical density   8.05 g cm⁻³
Final energy   -5.00 eV per atom

Compound: PmNd2Bi
Source: Alexandria via LeMat-Bulk
Functional: PBE
Structure: optimized geometry

abc: 5.0058 4.9867 4.9867
angles: 90.00 90.00 90.00
Element x y z (fractional)
Bi 0.5000 0.0000 0.0000
Nd 0.0000 0.0000 0.5000
Nd 0.0000 0.5000 0.0000
Pm 0.5000 0.5000 0.5000

Output
Density of states at the Fermi level   3.99 states/eV/cell
Calculated formation energy   -0.43 eV per atom
Distance to the lowest polymorph of the same formula   0.33 kcal/mol of atoms
Theoretical density   8.57 g cm⁻³
Final energy   -4.97 eV per atom

Compound: Pm5Nd5Bi6
Source: Alexandria via LeMat-Bulk
Functional: PBE
Structure: optimized geometry

abc: 6.5712 9.4918 9.4918
angles: 120.07 90.00 90.00
Element x y z (fractional)
Bi 0.5000 0.3864 0.3864
Bi 0.0000 0.3869 0.9992
Nd 0.2500 0.3334 0.6664
Bi 0.5000 0.6135 0.9999
Nd 0.2500 0.6664 0.3334
Pm 0.5000 0.7540 0.7540
Bi 0.5000 0.9999 0.6135
Nd 0.7500 0.6664 0.3334
Nd 0.0000 0.2461 0.2461
Pm 0.0000 0.7533 0.0002
Bi 0.0000 0.6143 0.6143
Pm 0.5000 0.9998 0.2468
Bi 0.0000 0.9992 0.3869
Pm 0.5000 0.2468 0.9998
Nd 0.7500 0.3334 0.6664
Pm 0.0000 0.0002 0.7533

Output
Density of states at the Fermi level   15.61 states/eV/cell
Calculated formation energy   -0.77 eV per atom
Theoretical density   8.75 g cm⁻³
Final energy   -5.20 eV per atom